Density functional theory data (PBE with a Hubbard U) for an optimized crystal structure of Li2FeHgO.

Calculated values
Spin magnetization: 3.7 μB per formula unit
DOS at the Fermi energy: 0.332 states/eV/atom
Final energy: -3.73 eV per atom

Cell: 4.207 4.207 4.020 Å, 90.00 90.00 90.00°
Space group P4/mmm (No. 123)
Unique sites:
Li 0.000 0.500 0.000
Fe 0.000 0.000 0.500
Hg 0.500 0.500 0.500
O 0.000 0.000 0.000